[1]
The following is a DFT calculation (PBE) of a relaxed AcLaInCu crystal.

a = 7.8377 Å, b = 7.8377 Å, c = 7.8377 Å
α = 90.00°, β = 90.00°, γ = 90.00°
Last column: nearest neighbours and their distance in Å.
Positions (direct):
Ac  0.0000  0.0000  0.0000  4 In 3.39, 4 Cu 3.39
Ac  0.0000  0.5000  0.5000  4 In 3.39, 4 Cu 3.39
Ac  0.5000  0.0000  0.5000  4 In 3.39, 4 Cu 3.39
Ac  0.5000  0.5000  0.0000  4 In 3.39, 4 Cu 3.39
La  0.0000  0.0000  0.5000  4 In 3.39, 4 Cu 3.39
La  0.0000  0.5000  0.0000  4 In 3.39, 4 Cu 3.39
La  0.5000  0.0000  0.0000  4 In 3.39, 4 Cu 3.39
La  0.5000  0.5000  0.5000  4 In 3.39, 4 Cu 3.39
In  0.2500  0.2500  0.2500  4 Ac 3.39, 4 La 3.39
In  0.2500  0.7500  0.7500  4 Ac 3.39, 4 La 3.39
In  0.7500  0.2500  0.7500  4 Ac 3.39, 4 La 3.39
In  0.7500  0.7500  0.2500  4 Ac 3.39, 4 La 3.39
Cu  0.2500  0.2500  0.7500  4 Ac 3.39, 4 La 3.39
Cu  0.2500  0.7500  0.2500  4 Ac 3.39, 4 La 3.39
Cu  0.7500  0.2500  0.2500  4 Ac 3.39, 4 La 3.39
Cu  0.7500  0.7500  0.7500  4 Ac 3.39, 4 La 3.39

Results
Its formation enthalpy at 0 K is -233 meV/atom. As for the volume: 481 Å³ per cell. Its total magnetization is 0.00 μB/cell.

***

[2]
The following is a DFT calculation (PBE) of a relaxed LiAc2In6Cu crystal.

a = 7.2853 Å, b = 7.2853 Å, c = 7.1736 Å
α = 119.18°, β = 119.18°, γ = 90.54°
Last column: nearest neighbours and their distance in Å.
Positions (direct):
Li  0.0000  0.0000  0.0000  6 In 2.57-2.59
Ac  0.2404  0.7596  0.5000  12 In 3.59-3.70
Ac  0.7596  0.2404  0.5000  12 In 3.59-3.70
In  0.2502  0.7498  0.0000  1 Cu 2.59, 1 Li 2.59
In  0.2584  0.2584  0.5000  1 Cu 2.59, 1 Li 2.59
In  0.2589  0.2589  0.0184  1 Li 2.57, 1 Cu 2.57
In  0.7411  0.7411  0.9816  1 Li 2.57, 1 Cu 2.57
In  0.7416  0.7416  0.5000  1 Cu 2.59, 1 Li 2.59
In  0.7498  0.2502  0.0000  1 Cu 2.59, 1 Li 2.59
Cu  0.5000  0.5000  0.0000  6 In 2.57-2.59

Results
Its formation enthalpy at 0 K is -207 meV/atom. As for the volume: 275 Å³ per cell. Its total magnetization is 0.00 μB/cell.

***

> What is the formation enthalpy at 0 K in the second record?

-207 meV/atom

***

> Among the records above, which one has the lowest formation enthalpy at 0 K?

AcLaInCu

***

> The lowest formation enthalpy at 0 K belongs to which entry?

AcLaInCu